Entry from Alexandria: SmSe6Cl12 after structural relaxation (PBE).

Unit cell a=12.9546 b=12.9546 c=12.9546 alpha=36.64 beta=36.64 gamma=36.64
Closest atoms and distances in Å follow each position.
Sites, in units of the cell vectors:
Sm  0.0000  0.0000  0.0000  6 Cl 2.72
Se  0.1128  0.1860  0.4543  1 Cl 2.25
Se  0.8140  0.5457  0.8872  1 Cl 2.25
Se  0.5457  0.8872  0.8140  1 Cl 2.25
Se  0.8872  0.8140  0.5457  1 Cl 2.25
Se  0.1860  0.4543  0.1128  1 Cl 2.25
Se  0.4543  0.1128  0.1860  1 Cl 2.25
Cl  0.5041  0.1218  0.7736  1 Se 2.25
Cl  0.1218  0.7736  0.5041  1 Se 2.25
Cl  0.7736  0.5041  0.1218  1 Se 2.25
Cl  0.4959  0.8782  0.2264  1 Se 2.25
Cl  0.8782  0.2264  0.4959  1 Se 2.25
Cl  0.2264  0.4959  0.8782  1 Se 2.25
Cl  0.2540  0.8984  0.7180  1 Sm 2.72, 1 Se 2.75
Cl  0.2820  0.7460  0.1016  1 Sm 2.72, 1 Se 2.75
Cl  0.1016  0.2820  0.7460  1 Sm 2.72, 1 Se 2.75
Cl  0.7460  0.1016  0.2820  1 Sm 2.72, 1 Se 2.75
Cl  0.7180  0.2540  0.8984  1 Sm 2.72, 1 Se 2.75
Cl  0.8984  0.7180  0.2540  1 Sm 2.72, 1 Se 2.75

M_tot: 0.00 Bohr magnetons per cell
E_form (uncorrected): -541 meV per atom
Electronic total energy: -58.073 eV/f.u.
Space-group type: No. 148
V: 36.5 Å³ per atom